1.
DFT (GGA-PBEsol) results for an optimized crystal structure of TaHgBr.

Values from the calculation:
**Total magnetization**: 0.0 μB per cell
**E_tot**: -4.7377 eV per atom
**Calculated volume**: 22.12 A^3/atom
**E_form (uncorrected)**: 0.2583 eV per atom

abc: 8.140 7.792 3.209
angles: 84.53 72.36 23.11
Atoms (fractional coordinates):
Ta (0.000, 0.000, 0.000)
Hg (0.343, 0.343, 0.657)
Br (0.636, 0.636, 0.364)

---

2.
DFT (GGA-PBEsol) results for an optimized crystal structure of TaHg2Br.

Values from the calculation:
**Total magnetization**: 0.0 μB per cell
**E_tot**: -3.4523 eV per atom
**Calculated volume**: 21.48 A^3/atom
**E_form (uncorrected)**: 0.4364 eV per atom
**Energy relative to the lowest polymorph listed for this composition**: 0.000 eV/f.u.

abc: 3.113 5.499 5.048
angles: 90.00 96.21 90.00
Atoms (fractional coordinates):
Ta (0.000, 0.000, 0.000)
Hg (0.306, 0.500, 0.237)
Hg (0.694, 0.500, 0.763)
Br (0.000, 0.000, 0.500)

---

3.
DFT (GGA-PBEsol) results for an optimized crystal structure of TaHg2Br.

Values from the calculation:
**Total magnetization**: 0.0 μB per cell
**E_tot**: -3.2102 eV per atom
**Calculated volume**: 19.94 A^3/atom
**E_form (uncorrected)**: 0.6785 eV per atom
**Energy relative to the lowest polymorph listed for this composition**: 0.968 eV/f.u.

abc: 4.832 4.832 4.832
angles: 60.00 60.00 60.00
Atoms (fractional coordinates):
Ta (0.000, 0.000, 0.000)
Hg (0.250, 0.250, 0.250)
Hg (0.500, 0.500, 0.500)
Br (0.750, 0.750, 0.750)

---

4.
DFT (GGA-PBEsol) results for an optimized crystal structure of TcHgBr2.

Values from the calculation:
**Total magnetization**: 0.0 μB per cell
**E_tot**: -3.7488 eV per atom
**Calculated volume**: 21.45 A^3/atom
**E_form (uncorrected)**: 0.1445 eV per atom
**Energy relative to the lowest polymorph listed for this composition**: 0.253 eV/f.u.

abc: 8.653 8.653 8.653
angles: 22.86 22.86 22.86
Atoms (fractional coordinates):
Tc (0.000, 0.000, 0.000)
Hg (0.252, 0.252, 0.252)
Br (0.505, 0.505, 0.505)
Br (0.724, 0.724, 0.724)

---

5.
DFT (GGA-PBEsol) results for an optimized crystal structure of Tc3HgBr.

Values from the calculation:
**Total magnetization**: 2.0 μB per cell
**E_tot**: -5.7073 eV per atom
**Calculated volume**: 18.28 A^3/atom
**E_form (uncorrected)**: 1.5399 eV per atom

abc: 4.505 4.505 4.505
angles: 90.00 90.00 90.00
Atoms (fractional coordinates):
Tc (0.000, 0.000, 0.500)
Tc (0.000, 0.500, 0.000)
Tc (0.500, 0.000, 0.000)
Hg (0.500, 0.500, 0.500)
Br (0.000, 0.000, 0.000)

---

6.
DFT (GGA-PBEsol) results for an optimized crystal structure of TcHgBr2.

Values from the calculation:
**Total magnetization**: 1.4 μB per cell
**E_tot**: -3.7830 eV per atom
**Calculated volume**: 25.78 A^3/atom
**E_form (uncorrected)**: 0.1103 eV per atom
**Energy relative to the lowest polymorph listed for this composition**: 0.116 eV/f.u.

abc: 5.424 5.424 6.907
angles: 113.30 113.30 33.87
Atoms (fractional coordinates):
Tc (0.000, 0.000, 0.000)
Hg (0.264, 0.264, 0.000)
Br (0.433, 0.433, 0.690)
Br (0.604, 0.604, 0.310)

---

7.
DFT (GGA-PBEsol) results for an optimized crystal structure of TcHgBr.

Values from the calculation:
**Total magnetization**: 0.0 μB per cell
**E_tot**: -4.0383 eV per atom
**Calculated volume**: 19.52 A^3/atom
**E_form (uncorrected)**: 0.5294 eV per atom
**Energy relative to the lowest polymorph listed for this composition**: 0.000 eV/f.u.

abc: 6.694 6.694 6.694
angles: 153.76 153.76 37.45
Atoms (fractional coordinates):
Tc (0.000, 0.000, 0.000)
Hg (0.339, 0.339, 0.000)
Br (0.605, 0.605, 0.000)

---

8.
DFT (GGA-PBEsol) results for an optimized crystal structure of TcHgBr2.

Values from the calculation:
**Total magnetization**: 4.4 μB per cell
**E_tot**: -3.1400 eV per atom
**Calculated volume**: 22.93 A^3/atom
**E_form (uncorrected)**: 0.7533 eV per atom
**Energy relative to the lowest polymorph listed for this composition**: 2.688 eV/f.u.

abc: 5.062 5.062 5.062
angles: 60.00 60.00 60.00
Atoms (fractional coordinates):
Tc (0.000, 0.000, 0.000)
Hg (0.500, 0.500, 0.500)
Br (0.250, 0.250, 0.250)
Br (0.750, 0.750, 0.750)

---

9.
DFT (GGA-PBEsol) results for an optimized crystal structure of TcHg2Br.

Values from the calculation:
**Total magnetization**: 2.5 μB per cell
**E_tot**: -2.7388 eV per atom
**Calculated volume**: 19.94 A^3/atom
**E_form (uncorrected)**: 0.8288 eV per atom
**Energy relative to the lowest polymorph listed for this composition**: 1.809 eV/f.u.

abc: 4.832 4.832 4.832
angles: 60.00 60.00 60.00
Atoms (fractional coordinates):
Tc (0.000, 0.000, 0.000)
Hg (0.250, 0.250, 0.250)
Hg (0.500, 0.500, 0.500)
Br (0.750, 0.750, 0.750)

---

10.
DFT (GGA-PBEsol) results for an optimized crystal structure of TcHgBr2.

Values from the calculation:
**Total magnetization**: 1.0 μB per cell
**E_tot**: -3.7868 eV per atom
**Calculated volume**: 24.83 A^3/atom
**E_form (uncorrected)**: 0.1065 eV per atom
**Energy relative to the lowest polymorph listed for this composition**: 0.101 eV/f.u.

abc: 9.562 9.562 9.562
angles: 21.11 21.11 21.11
Atoms (fractional coordinates):
Tc (0.000, 0.000, 0.000)
Hg (0.500, 0.500, 0.500)
Br (0.279, 0.279, 0.279)
Br (0.721, 0.721, 0.721)

---

11.
DFT (GGA-PBEsol) results for an optimized crystal structure of TcHgBr.

Values from the calculation:
**Total magnetization**: 1.8 μB per cell
**E_tot**: -3.7295 eV per atom
**Calculated volume**: 18.86 A^3/atom
**E_form (uncorrected)**: 0.8383 eV per atom
**Energy relative to the lowest polymorph listed for this composition**: 0.927 eV/f.u.

abc: 4.519 4.519 3.199
angles: 90.00 90.00 120.00
Atoms (fractional coordinates):
Tc (0.000, 0.000, 0.000)
Hg (0.667, 0.333, 0.500)
Br (0.333, 0.667, 0.000)

---

12.
DFT (GGA-PBEsol) results for an optimized crystal structure of TcHgBr2.

Values from the calculation:
**Total magnetization**: 0.9 μB per cell
**E_tot**: -3.8121 eV per atom
**Calculated volume**: 24.57 A^3/atom
**E_form (uncorrected)**: 0.0812 eV per atom
**Energy relative to the lowest polymorph listed for this composition**: 0.000 eV/f.u.

abc: 3.208 7.181 7.181
angles: 36.45 90.00 90.00
Atoms (fractional coordinates):
Tc (0.000, 0.000, 0.000)
Hg (0.500, 0.468, 0.468)
Br (0.000, 0.822, 0.822)
Br (0.500, 0.139, 0.139)